[1]
The following is a DFT calculation (PBE) of a relaxed structure of PmTaSi.

Cell lengths 4.842, 4.842, 4.842 Å; angles 60.00, 60.00, 60.00 degrees
Fractional positions:
1 Pm 0.000 0.000 0.000
2 Ta 0.250 0.250 0.250
3 Si 0.750 0.750 0.750

Properties
Crystal system: cubic
Relative energy among the computed polymorphs in meV/atom: 1145

---

[2]
The following is a DFT calculation (PBE) of a relaxed structure of NdScAu.

Cell lengths 4.819, 4.819, 4.819 Å; angles 60.00, 60.00, 60.00 degrees
Fractional positions:
1 Nd 0.000 0.000 0.000
2 Sc 0.250 0.250 0.250
3 Au 0.750 0.750 0.750

Properties
Crystal system: cubic
Relative energy among the computed polymorphs in meV/atom: 828

---

[3]
The following is a DFT calculation (PBE) of a relaxed structure of Pm3Te3N.

Cell lengths 7.754, 7.754, 7.725 Å; angles 97.53, 97.53, 112.50 degrees
Fractional positions:
1 Pm 0.098 0.098 0.335
2 Pm 0.154 0.439 0.781
3 Pm 0.439 0.154 0.781
4 Pm 0.561 0.846 0.219
5 Pm 0.846 0.561 0.219
6 Pm 0.902 0.902 0.665
7 Te 0.164 0.836 0.000
8 Te 0.260 0.740 0.500
9 Te 0.385 0.385 0.149
10 Te 0.615 0.615 0.851
11 Te 0.740 0.260 0.500
12 Te 0.836 0.164 0.000
13 N 0.168 0.168 0.644
14 N 0.832 0.832 0.356

Properties
Crystal system: monoclinic

---

[4]
The following is a DFT calculation (PBE) of a relaxed structure of ScFeSnIr.

Cell lengths 4.479, 4.479, 4.479 Å; angles 60.00, 60.00, 60.00 degrees
Fractional positions:
1 Sc 0.000 0.000 0.000
2 Fe 0.750 0.750 0.750
3 Sn 0.500 0.500 0.500
4 Ir 0.250 0.250 0.250

Properties
Crystal system: cubic
Relative energy among the computed polymorphs in meV/atom: 0

---

[5]
The following is a DFT calculation (PBE) of a relaxed structure of PaCuPd.

Cell lengths 4.519, 4.519, 4.519 Å; angles 60.00, 60.00, 60.00 degrees
Fractional positions:
1 Pa 0.000 0.000 0.000
2 Cu 0.500 0.500 0.500
3 Pd 0.750 0.750 0.750

Properties
Crystal system: cubic
Relative energy among the computed polymorphs in meV/atom: 0

---

[6]
The following is a DFT calculation (PBE) of a relaxed structure of SrCuAs2Pd.

Cell lengths 4.376, 4.376, 10.337 Å; angles 90.00, 90.00, 90.00 degrees
Fractional positions:
1 Sr 0.250 0.250 0.245
2 Sr 0.750 0.750 0.755
3 Cu 0.250 0.750 0.000
4 Cu 0.750 0.250 0.000
5 As 0.250 0.250 0.873
6 As 0.250 0.750 0.500
7 As 0.750 0.250 0.500
8 As 0.750 0.750 0.127
9 Pd 0.250 0.250 0.627
10 Pd 0.750 0.750 0.373

Properties
Crystal system: tetragonal
Relative energy among the computed polymorphs in meV/atom: 0

---

[7]
The following is a DFT calculation (PBE) of a relaxed structure of LaPaZn.

Cell lengths 4.917, 4.917, 4.917 Å; angles 60.00, 60.00, 60.00 degrees
Fractional positions:
1 La 0.000 0.000 0.000
2 Pa 0.500 0.500 0.500
3 Zn 0.250 0.250 0.250

Properties
Crystal system: cubic
Relative energy among the computed polymorphs in meV/atom: 0

---

[8]
The following is a DFT calculation (PBE) of a relaxed structure of SrNdSc.

Cell lengths 5.624, 5.624, 5.624 Å; angles 60.00, 60.00, 60.00 degrees
Fractional positions:
1 Sr 0.000 0.000 0.000
2 Nd 0.500 0.500 0.500
3 Sc 0.750 0.750 0.750

Properties
Crystal system: cubic

---

no.,total DFT energy (no corrections) (eV per atom)
1,-6.0553
2,-4.5667
3,-6.0501
4,-7.3294
5,-6.1195
6,-4.6376
7,-4.7949
8,-3.4920